Entry 1:
# Mg2Cu3Se2

Crystalline Mg2Cu3Se2 at its relaxed geometry (PBE, Alexandria).

Lattice parameters (Å, degrees): 14.4904 3.8031 10.2548 90.00 115.16 90.00
Space group C2/m (No. 12)
Inequivalent atoms, fractional coordinates:
1 Mg 0.0808 0.0000 0.4233 [4 per cell]
2 Mg 0.1516 0.0000 0.8733 [4 per cell]
3 Cu 0.0751 0.5000 0.6156 [4 per cell]
4 Cu 0.1115 0.5000 0.0668 [4 per cell]
5 Cu 0.2267 0.5000 0.5577 [4 per cell]
6 Se 0.0044 0.5000 0.8085 [4 per cell]
7 Se 0.2310 0.0000 0.1736 [4 per cell]

Computed properties:
Uncorrected energy = -3.528 eV/atom
Polymorph energy (0 for the lowest one) = 31.5 kJ/mol of formula units
Formation energy from raw total energies = -2.25 eV/f.u.

=====

Entry 2:
# Ti5VGe4

Crystalline Ti5VGe4 at its relaxed geometry (PBE, Alexandria).

Lattice parameters (Å, degrees): 3.8844 8.4643 10.0904 90.00 90.00 90.00
Space group Immm (No. 71)
Inequivalent atoms, fractional coordinates:
1 Ti 0.0000 0.0000 0.0000 [2 per cell]
2 Ti 0.0000 0.3124 0.3448 [8 per cell]
3 V 0.0000 0.0000 0.5000 [2 per cell]
4 Ge 0.0000 0.0000 0.2548 [4 per cell]
5 Ge 0.0000 0.3099 0.0000 [4 per cell]

Computed properties:
Uncorrected energy = -7.090 eV/atom

=====

Entry 3:
# Fe2IrC

Crystalline Fe2IrC at its relaxed geometry (PBE, Alexandria).

Lattice parameters (Å, degrees): 4.8980 4.8980 8.7252 90.00 90.00 90.00
Space group I-42d (No. 122)
Inequivalent atoms, fractional coordinates:
1 Fe 0.1679 0.2500 0.1250 [8 per cell]
2 Ir 0.0000 0.0000 0.5000 [4 per cell]
3 C 0.0000 0.0000 0.0000 [4 per cell]

Computed properties:
Uncorrected energy = -7.967 eV/atom